Entry 1:
## KAlIn2Cl6 (PBE)

Data for crystalline KAlIn2Cl6 at its relaxed geometry.

Computed properties:
total moment	0.0	μB per formula unit
density of states at the Fermi level	0.00	states/eV/atom
electronic total energy	-3.4757	eV/atom
uncorrected formation energy	-13.4	eV/f.u.
calculated density	2.47	g cm⁻³

Unit cell a=7.1402 b=7.1402 c=7.7425 alpha=90.00 beta=90.00 gamma=120.00
Space group P-3m1 (No. 164)
Asymmetric unit:
1 K 0.0000 0.0000 0.0000 x1
2 Al 0.0000 0.0000 0.5000 x1
3 In 0.3333 0.6667 0.6003 x2
4 Cl 0.1553 0.3107 0.3238 x6



Entry 2:
## TlBiSCl2 (PBE)

Data for crystalline TlBiSCl2 at its relaxed geometry.

Computed properties:
total moment	0.0	μB per formula unit
electronic total energy	-3.5641	eV/atom
uncorrected formation energy	-3.8	eV/f.u.
E above lowest polymorph	0.0	meV per atom
calculated density	5.63	g cm⁻³

Unit cell a=4.0592 b=18.6266 c=8.0542 alpha=90.00 beta=90.00 gamma=90.00
Space group Cmcm (No. 63)
Asymmetric unit:
1 Tl 0.0000 0.2047 0.2500 x4
2 Bi 0.0000 0.5000 0.0000 x4
3 S 0.0000 0.0125 0.2500 x4
4 Cl 0.0000 0.3545 0.0172 x8



Entry 3:
## LiCaBi2Rh (PBE)

Data for crystalline LiCaBi2Rh at its relaxed geometry.

Computed properties:
total moment	0.0	μB per formula unit
density of states at the Fermi level	0.76	states/eV/atom
electronic total energy	-4.1131	eV/atom
calculated density	7.43	g cm⁻³
calculated formation energy	-148	kJ/mol of formula units

Unit cell a=5.6486 b=17.3214 c=5.1897 alpha=90.00 beta=90.00 gamma=90.00
Space group Cmme (No. 67)
Asymmetric unit:
1 Li 0.0000 0.0000 0.0000 x4
2 Ca 0.0000 0.2500 0.2288 x4
3 Bi 0.0000 0.1250 0.6943 x8
4 Rh 0.2500 0.0000 0.5000 x4



Entry 4:
## Mg2HgBi2 (PBE)

Data for crystalline Mg2HgBi2 at its relaxed geometry.

Computed properties:
total moment	0.0	μB per formula unit
density of states at the Fermi level	0.07	states/eV/atom
electronic total energy	-2.3178	eV/atom
E above lowest polymorph	1.8	meV per atom
calculated density	6.92	g cm⁻³
calculated formation energy	-32	kJ/mol of formula units

Unit cell a=5.3132 b=5.3132 c=11.3368 alpha=90.00 beta=90.00 gamma=90.00
Space group I4/mmm (No. 139)
Asymmetric unit:
1 Mg 0.0000 0.5000 0.2500 x4
2 Hg 0.0000 0.0000 0.0000 x2
3 Bi 0.0000 0.0000 0.3685 x4



Entry 5:
## Ac2Hg3Bi (PBE)

Data for crystalline Ac2Hg3Bi at its relaxed geometry.

Computed properties:
total moment	0.0	μB per formula unit
density of states at the Fermi level	0.66	states/eV/atom
electronic total energy	-2.6698	eV/atom
calculated density	11.19	g cm⁻³
calculated formation energy	-291	kJ/mol of formula units

Unit cell a=7.8657 b=10.5666 c=18.0594 alpha=90.00 beta=90.00 gamma=90.00
Space group Fmmm (No. 69)
Asymmetric unit:
1 Ac 0.2493 0.0000 0.0000 x8
2 Ac 0.2500 0.2500 0.2500 x8
3 Hg 0.0000 0.0000 0.1605 x8
4 Hg 0.0000 0.2448 0.0811 x16
5 Bi 0.0000 0.0000 0.3314 x8